The following is a PBE calculation of Ho6AlIn2 after structural relaxation, from Alexandria via LeMat-Bulk.

POSCAR file:
```
Ho6AlIn2
1.0
-0.708 0.656 -5.023
6.075 -3.699 -1.339
-6.717 -5.002 2.899
In Ho Al
2 6 1
direct
0.334 0.334 0.667
0.666 0.666 0.333
0.837 0.082 0.674
0.837 0.591 0.674
0.163 0.918 0.326
0.163 0.409 0.326
0.500 0.759 0.000
0.500 0.241 0.000
0.000 0.000 0.000
```

V	284	Å³ per cell
SG	No. 71
E_tot	-4.145	eV/atom
M_tot	0.0	μB/cell
formation energy	-0.07	eV/atom